# HoTm3Sb3 GGA-PBE relaxed
data_HoTm3Sb3
_chemical_formula_sum 'Ho6 Tm18 Sb18'
_symmetry_space_group_name_H-M 'R -3'
_symmetry_Int_Tables_number 148
_symmetry_space_group_name_Hall '-R 3'
_cell_length_a 8.8532
_cell_length_b 8.8532
_cell_length_c 18.2432
_cell_angle_alpha 90.00
_cell_angle_beta 90.00
_cell_angle_gamma 120.00
loop_
_atom_site_label
_atom_site_fract_x
_atom_site_fract_y
_atom_site_fract_z
_atom_site_occupancy
Ho1 0.0000 0.0000 0.1658 1
Tm1 0.0019 0.2598 0.5831 1
Sb1 0.0036 0.3896 0.4166 1
# E_tot: -5.185 eV per atom
# polymorph energy (0 for the lowest one): 83 meV/atom
# energy relative to the elements, uncorrected: -0.85 eV per atom
# density of states at the Fermi level: 0.716 states/eV per atom